Compound: Te2Mo2Au
Source: Alexandria via LeMat-Bulk
Functional: PBE-GGA
Structure: optimized geometry

Calculated values
distance to the lowest polymorph of the same formula: 153 meV per atom
uncorrected formation energy: 0.45 eV per atom
total magnetic moment: 0.00 μB per atom

a = 5.3785 Å, b = 5.3785 Å, c = 5.5008 Å
α = 60.73°, β = 60.73°, γ = 90.00°
Atoms (fractional coordinates):
1 Mo 0.3643 0.3643 0.2715
2 Mo 0.6357 0.6357 0.7285
3 Te 0.7500 0.2500 0.5000
4 Te 0.2500 0.7500 0.5000
5 Au 0.0000 0.0000 0.0000


Compound: CrNiOs2
Source: Alexandria via LeMat-Bulk
Functional: PBE-GGA
Structure: optimized geometry

Calculated values
distance to the lowest polymorph of the same formula: 12 meV per atom
total magnetic moment: 0.22 μB per atom
formation energy: 0.08 eV/atom

a = 4.5837 Å, b = 4.5837 Å, c = 4.5837 Å
α = 132.19°, β = 132.20°, γ = 69.92°
Atoms (fractional coordinates):
1 Cr 0.5000 0.5000 0.0000
2 Ni 0.2500 0.7500 0.5000
3 Os 0.0000 0.0000 0.0000
4 Os 0.7500 0.2500 0.5000


Compound: PdSCl
Source: Alexandria via LeMat-Bulk
Functional: PBE-GGA
Structure: optimized geometry

Calculated values
uncorrected formation energy: -0.19 eV per atom
total magnetic moment: 0.00 μB per atom

a = 3.5740 Å, b = 3.5740 Å, c = 5.4195 Å
α = 90.00°, β = 90.00°, γ = 120.00°
Atoms (fractional coordinates):
1 S 0.3333 0.6667 0.5758
2 Pd 0.6667 0.3333 0.3560
3 Cl 0.0000 0.0000 0.0682


Compound: SrY2HgP
Source: Alexandria via LeMat-Bulk
Functional: PBE-GGA
Structure: optimized geometry

Calculated values
total magnetic moment: 0.00 μB per atom
formation energy: 1.31 eV/atom

a = 5.8780 Å, b = 5.3979 Å, c = 5.8780 Å
α = 90.00°, β = 90.00°, γ = 90.00°
Atoms (fractional coordinates):
1 Y 0.0000 0.0000 0.5000
2 Y 0.5000 0.0000 0.0000
3 Sr 0.0000 0.0000 0.0000
4 Hg 0.0000 0.5000 0.0000
5 P 0.5000 0.5000 0.5000


Compound: AcZnAu3
Source: Alexandria via LeMat-Bulk
Functional: PBE-GGA
Structure: optimized geometry

Calculated values
distance to the lowest polymorph of the same formula: 179 meV per atom
total magnetic moment: 0.00 μB per atom
formation energy: -0.42 eV/atom

a = 4.9662 Å, b = 4.9662 Å, c = 4.9662 Å
α = 90.00°, β = 90.00°, γ = 90.00°
Atoms (fractional coordinates):
1 Ac 0.5000 0.5000 0.5000
2 Au 0.0000 0.5000 0.0000
3 Au 0.0000 0.0000 0.5000
4 Au 0.5000 0.0000 0.0000
5 Zn 0.0000 0.0000 0.0000


Compound: Nd3Sc5O12
Source: Alexandria via LeMat-Bulk
Functional: PBE-GGA
Structure: optimized geometry

Calculated values
uncorrected formation energy: -3.44 eV per atom
total magnetic moment: 0.00 μB per atom

a = 11.3467 Å, b = 11.3467 Å, c = 11.3467 Å
α = 109.47°, β = 109.47°, γ = 109.47°
Atoms (fractional coordinates):
1 Nd 0.7500 0.3750 0.1250
2 Nd 0.8750 0.7500 0.1250
3 Nd 0.3750 0.7500 0.6250
4 Nd 0.2500 0.1250 0.3750
5 Nd 0.8750 0.1250 0.2500
6 Nd 0.3750 0.6250 0.2500
7 Nd 0.6250 0.3750 0.7500
8 Nd 0.1250 0.8750 0.7500
9 Nd 0.7500 0.8750 0.6250
10 Nd 0.6250 0.2500 0.3750
11 Nd 0.1250 0.2500 0.8750
12 Nd 0.2500 0.6250 0.8750
13 Sc 0.1250 0.3750 0.2500
14 Sc 0.0000 0.5000 0.0000
15 Sc 0.0000 0.0000 0.0000
16 Sc 0.3750 0.2500 0.1250
17 Sc 0.5000 0.0000 0.5000
18 Sc 0.5000 0.5000 0.0000
19 Sc 0.1250 0.7500 0.3750
20 Sc 0.7500 0.1250 0.8750
21 Sc 0.7500 0.6250 0.3750
22 Sc 0.3750 0.1250 0.7500
23 Sc 0.6250 0.8750 0.2500
24 Sc 0.5000 0.5000 0.5000
25 Sc 0.5000 0.0000 0.0000
26 Sc 0.0000 0.0000 0.5000
27 Sc 0.2500 0.3750 0.6250
28 Sc 0.2500 0.8750 0.1250
29 Sc 0.0000 0.5000 0.5000
30 Sc 0.8750 0.2500 0.6250
31 Sc 0.6250 0.7500 0.8750
32 Sc 0.8750 0.6250 0.7500
33 O 0.7077 0.1250 0.0308
34 O 0.3231 0.5308 0.4058
35 O 0.9692 0.3750 0.2923
36 O 0.5308 0.2077 0.1250
37 O 0.5827 0.7077 0.6769
38 O 0.9692 0.5942 0.1769
39 O 0.3231 0.7923 0.4173
40 O 0.0942 0.9173 0.1250
41 O 0.5942 0.9692 0.6769
42 O 0.7077 0.5827 0.1769
43 O 0.7923 0.4692 0.3750
44 O 0.8231 0.9058 0.0308
45 O 0.1250 0.7077 0.5308
46 O 0.3750 0.4058 0.0827
47 O 0.0827 0.9058 0.3750
48 O 0.4173 0.1250 0.5942
49 O 0.0827 0.1769 0.2077
50 O 0.4692 0.6769 0.0942
51 O 0.8231 0.9173 0.2923
52 O 0.1250 0.4173 0.0942
53 O 0.3750 0.9692 0.7923
54 O 0.5942 0.6250 0.4173
55 O 0.9058 0.8231 0.5308
56 O 0.7923 0.3231 0.9173
57 O 0.4058 0.3750 0.5827
58 O 0.0942 0.1769 0.4692
59 O 0.2077 0.6769 0.0827
60 O 0.1769 0.0827 0.7077
61 O 0.6250 0.0308 0.2077
62 O 0.8750 0.5827 0.9058
63 O 0.5308 0.3231 0.9058
64 O 0.5827 0.8750 0.4058
65 O 0.9173 0.8231 0.7923
66 O 0.9173 0.0942 0.6250
67 O 0.8750 0.2923 0.4692
68 O 0.1769 0.0942 0.9692
69 O 0.6250 0.5942 0.9173
70 O 0.4058 0.0308 0.3231
71 O 0.2923 0.4173 0.8231
72 O 0.2077 0.5308 0.6250
73 O 0.9058 0.0827 0.8750
74 O 0.6769 0.2077 0.5827
75 O 0.4692 0.7923 0.8750
76 O 0.0308 0.4058 0.8231
77 O 0.4173 0.2923 0.3231
78 O 0.0308 0.6250 0.7077
79 O 0.6769 0.4692 0.5942
80 O 0.2923 0.8750 0.9692


> Look up the total magnetic moment of the sixth one.

0.00 μB per atom


> Number 1 is which compound?

Te2Mo2Au


> total magnetic moment of number 6 (Nd3Sc5O12)?

0.00 μB per atom